TiWO3 | PBE+U | optimized geometry

DOS(E_F) ... 0.855 states/eV per atom
E ... -36.4 eV/cell
Density ... 7.329 Mg/m³
V ... 12.674 Å³ per atom

a b c (Å): 3.987 3.987 3.987
angles (deg): 90.00 90.00 90.00
Each line ends with the local moment (μB).
Positions (direct):
O 0.000 0.500 0.000  -0.02
O 0.000 0.000 0.500  -0.03
O 0.500 0.000 0.000  -0.04
W 0.000 0.000 0.000  1.71
Ti 0.500 0.500 0.500  1.89